[1]
{
  "formula": "AuSeNO2",
  "functional": "PBE",
  "state": "optimized geometry",
  "spacegroup": "No. 123",
  "crystal_system": "tetragonal",
  "energy_ev_per_atom": -3.69,
  "raw_formation_energy_kj_per_mol_atoms": 126.4,
  "cell": [[4.0469, 0.0000, 0.0000], [0.0000, 4.0469, 0.0000], [0.0000, 0.0000, 4.0817]],
  "species": ["Au", "Se", "N", "O", "O"],
  "fractional_positions": [[0.0000, 0.0000, 0.0000], [0.5000, 0.5000, 0.5000], [0.0000, 0.0000, 0.5000], [0.0000, 0.5000, 0.0000], [0.5000, 0.0000, 0.0000]]
}


[2]
{
  "formula": "LiSbAu2",
  "functional": "PBE",
  "state": "optimized geometry",
  "spacegroup": "No. 47",
  "crystal_system": "orthorhombic",
  "energy_ev_per_atom": -3.41,
  "raw_formation_energy_kj_per_mol_atoms": -24.9,
  "cell": [[3.4244, 0.0000, 0.0000], [0.0000, 3.6978, 0.0000], [0.0000, 0.0000, 6.0480]],
  "species": ["Li", "Sb", "Au", "Au"],
  "fractional_positions": [[0.0000, 0.0000, 0.0000], [0.0000, 0.0000, 0.5000], [0.5000, 0.5000, 0.2294], [0.5000, 0.5000, 0.7706]]
}


[3]
{
  "formula": "Pa3Fe9SiB2",
  "functional": "PBE",
  "state": "optimized geometry",
  "spacegroup": "No. 164",
  "crystal_system": "trigonal",
  "energy_ev_per_atom": -8.46,
  "raw_formation_energy_kj_per_mol_atoms": -22.4,
  "cell": [[5.7096, 0.0000, 0.0000], [-2.8548, 4.9446, 0.0000], [0.0000, 0.0000, 7.0142]],
  "species": ["Pa", "Pa", "Pa", "Fe", "Fe", "Fe", "Fe", "Fe", "Fe", "Fe", "Fe", "Fe", "Si", "B", "B"],
  "fractional_positions": [[0.0000, 0.0000, 0.0000], [0.3333, 0.6667, 0.6684], [0.6667, 0.3333, 0.3316], [0.0000, 0.5000, 0.0000], [0.1775, 0.3549, 0.3188], [0.1775, 0.8225, 0.3188], [0.3549, 0.1775, 0.6812], [0.5000, 0.0000, 0.0000], [0.5000, 0.5000, 0.0000], [0.6451, 0.8225, 0.3188], [0.8225, 0.1775, 0.6812], [0.8225, 0.6451, 0.6812], [0.0000, 0.0000, 0.5000], [0.3333, 0.6667, 0.1493], [0.6667, 0.3333, 0.8507]]
}


[4]
{
  "formula": "V4Tc2C",
  "functional": "PBE",
  "state": "optimized geometry",
  "spacegroup": "No. 139",
  "crystal_system": "tetragonal",
  "energy_ev_per_atom": -9.29,
  "e_form_ev_per_fu": 1.43,
  "cell": [[3.8966, 0.0000, 0.0000], [0.0000, 3.8966, 0.0000], [0.0000, 0.0000, 12.5802]],
  "species": ["V", "V", "V", "V", "V", "V", "V", "V", "Tc", "Tc", "Tc", "Tc", "C", "C"],
  "fractional_positions": [[0.0000, 0.0000, 0.1656], [0.0000, 0.0000, 0.8344], [0.0000, 0.5000, 0.0000], [0.0000, 0.5000, 0.5000], [0.5000, 0.0000, 0.0000], [0.5000, 0.0000, 0.5000], [0.5000, 0.5000, 0.3344], [0.5000, 0.5000, 0.6656], [0.0000, 0.0000, 0.3508], [0.0000, 0.0000, 0.6492], [0.5000, 0.5000, 0.1492], [0.5000, 0.5000, 0.8508], [0.0000, 0.0000, 0.0000], [0.5000, 0.5000, 0.5000]]
}


[5]
{
  "formula": "La2In2Ag3",
  "functional": "PBE",
  "state": "optimized geometry",
  "spacegroup": "No. 63",
  "crystal_system": "orthorhombic",
  "energy_ev_per_atom": -3.72,
  "e_form_ev_per_fu": -2.19,
  "cell": [[2.2300, -10.3879, 0.0000], [2.2300, 10.3879, 0.0000], [0.0000, 0.0000, 7.8565]],
  "species": ["La", "La", "La", "La", "In", "In", "In", "In", "Ag", "Ag", "Ag", "Ag", "Ag", "Ag"],
  "fractional_positions": [[0.0577, 0.9423, 0.7500], [0.1517, 0.8483, 0.2500], [0.8483, 0.1517, 0.7500], [0.9423, 0.0577, 0.2500], [0.3114, 0.6886, 0.0539], [0.3114, 0.6886, 0.4461], [0.6886, 0.3114, 0.5539], [0.6886, 0.3114, 0.9461], [0.2273, 0.7727, 0.7500], [0.4411, 0.5589, 0.5710], [0.4411, 0.5589, 0.9290], [0.5589, 0.4411, 0.0710], [0.5589, 0.4411, 0.4290], [0.7727, 0.2273, 0.2500]]
}


[6]
{
  "formula": "TbScBeCo",
  "functional": "PBE",
  "state": "optimized geometry",
  "spacegroup": "No. 216",
  "crystal_system": "cubic",
  "energy_ev_per_atom": -5.52,
  "e_form_ev_per_fu": -0.28,
  "cell": [[6.5412, 0.0000, 0.0000], [0.0000, 6.5412, 0.0000], [0.0000, 0.0000, 6.5412]],
  "species": ["Tb", "Tb", "Tb", "Tb", "Sc", "Sc", "Sc", "Sc", "Be", "Be", "Be", "Be", "Co", "Co", "Co", "Co"],
  "fractional_positions": [[0.0000, 0.0000, 0.0000], [0.0000, 0.5000, 0.5000], [0.5000, 0.0000, 0.5000], [0.5000, 0.5000, 0.0000], [0.0000, 0.0000, 0.5000], [0.0000, 0.5000, 0.0000], [0.5000, 0.0000, 0.0000], [0.5000, 0.5000, 0.5000], [0.2500, 0.2500, 0.7500], [0.2500, 0.7500, 0.2500], [0.7500, 0.2500, 0.2500], [0.7500, 0.7500, 0.7500], [0.2500, 0.2500, 0.2500], [0.2500, 0.7500, 0.7500], [0.7500, 0.2500, 0.7500], [0.7500, 0.7500, 0.2500]]
}


[7]
{
  "formula": "PrHo3Cd",
  "functional": "PBE",
  "state": "optimized geometry",
  "spacegroup": "No. 15",
  "crystal_system": "monoclinic",
  "energy_ev_per_atom": -3.88,
  "e_form_ev_per_fu": 0.05,
  "cell": [[8.2844, -5.3185, 0.0000], [8.2844, 5.3185, 0.0000], [-1.1329, 0.0000, 7.1525]],
  "species": ["Pr", "Pr", "Pr", "Pr", "Ho", "Ho", "Ho", "Ho", "Ho", "Ho", "Ho", "Ho", "Ho", "Ho", "Ho", "Ho", "Cd", "Cd", "Cd", "Cd"],
  "fractional_positions": [[0.0241, 0.9759, 0.7500], [0.3448, 0.6552, 0.2500], [0.6552, 0.3448, 0.7500], [0.9759, 0.0241, 0.2500], [0.0001, 0.3361, 0.0756], [0.9998, 0.6639, 0.9244], [0.0110, 0.3311, 0.6015], [0.3136, 0.3150, 0.3896], [0.3150, 0.3136, 0.8896], [0.3311, 0.0110, 0.1015], [0.3361, 0.0001, 0.5756], [0.6639, 0.9998, 0.4244], [0.6689, 0.9890, 0.8985], [0.6850, 0.6864, 0.1104], [0.6864, 0.6850, 0.6104], [0.9890, 0.6689, 0.3985], [0.2623, 0.5816, 0.6726], [0.4184, 0.7377, 0.8274], [0.5816, 0.2623, 0.1726], [0.7377, 0.4184, 0.3274]]
}


[8]
{
  "formula": "SrAg2Br",
  "functional": "PBE",
  "state": "optimized geometry",
  "spacegroup": "No. 123",
  "crystal_system": "tetragonal",
  "energy_ev_per_atom": -2.66,
  "raw_formation_energy_kj_per_mol_atoms": -37.8,
  "cell": [[4.5086, 0.0000, 0.0000], [0.0000, 4.5086, 0.0000], [0.0000, 0.0000, 5.8028]],
  "species": ["Sr", "Ag", "Ag", "Br"],
  "fractional_positions": [[0.0000, 0.0000, 0.0000], [0.5000, 0.5000, 0.2439], [0.5000, 0.5000, 0.7561], [0.0000, 0.0000, 0.5000]]
}